An optimized crystal structure of Mn3Cr2C2. Source: Alexandria, functional PBE.

Summary:
As for the uncorrected energy: -65.6 eV/f.u. Its formation energy is -0.0628 eV per atom.

Lattice parameters (Å, degrees): 4.348 4.348 6.313 112.08 112.08 35.80
Fractional positions:
Mn 0.000 0.000 0.000
Mn 0.113 0.113 0.429
Mn 0.887 0.887 0.571
Cr 0.335 0.335 0.198
Cr 0.665 0.665 0.802
C 0.341 0.341 0.771
C 0.659 0.659 0.229



An optimized crystal structure of Tb3Dy4YS8. Source: Alexandria, functional PBE.

Summary:
For the formation energy without anion corrections, the calculation gives -31.9 eV per formula unit. As for the uncorrected energy: -103.7 eV/f.u.

Lattice parameters (Å, degrees): 7.832 7.832 7.832 59.98 59.98 59.98
Fractional positions:
Tb 0.000 0.500 0.500
Tb 0.500 0.000 0.500
Tb 0.500 0.500 0.000
Dy 0.000 0.000 0.500
Dy 0.000 0.500 0.000
Dy 0.500 0.000 0.000
Dy 0.500 0.500 0.500
Y 0.000 0.000 0.000
S 0.249 0.249 0.249
S 0.249 0.750 0.750
S 0.250 0.250 0.751
S 0.250 0.751 0.250
S 0.750 0.249 0.750
S 0.750 0.750 0.249
S 0.751 0.250 0.250
S 0.751 0.751 0.751



An optimized crystal structure of Fe2PRu. Source: Alexandria, functional PBE.

Summary:
As for the uncorrected energy: -31.9 eV/f.u. Its formation energy is -0.0809 eV per atom.

Lattice parameters (Å, degrees): 2.943 3.976 4.132 90.00 90.00 90.00
Fractional positions:
Fe 0.000 0.000 0.000
Fe 0.500 0.500 0.000
P 0.000 0.500 0.500
Ru 0.500 0.000 0.500



An optimized crystal structure of KAl3Au2. Source: Alexandria, functional PBE.

Summary:
As for the uncorrected energy: -20.6 eV/f.u. Its formation energy is -0.2864 eV per atom.

Lattice parameters (Å, degrees): 8.701 8.701 8.330 113.02 113.02 28.19
Fractional positions:
K 0.158 0.158 0.063
K 0.842 0.842 0.937
Al 0.027 0.027 0.359
Al 0.319 0.319 0.571
Al 0.413 0.413 0.352
Al 0.587 0.587 0.648
Al 0.681 0.681 0.429
Al 0.973 0.973 0.641
Au 0.177 0.177 0.617
Au 0.479 0.479 0.816
Au 0.521 0.521 0.184
Au 0.823 0.823 0.383



An optimized crystal structure of As2PtW. Source: Alexandria, functional PBE.

Summary:
As for the uncorrected energy: -27.3 eV/f.u. As for the polymorph energy (0 for the lowest one): 0.207 eV/atom. Its formation energy is 0.2483 eV per atom.

Lattice parameters (Å, degrees): 5.455 5.455 5.455 145.11 134.33 58.73
Fractional positions:
As 0.000 0.000 0.000
As 0.726 0.226 0.500
Pt 0.233 0.733 0.500
W 0.502 0.502 0.000



An optimized crystal structure of RbInPbS3. Source: Alexandria, functional PBE.

Summary:
For the formation energy without anion corrections, the calculation gives -4.3 eV per formula unit. As for the uncorrected energy: -24.1 eV/f.u.

Lattice parameters (Å, degrees): 9.646 4.203 10.688 90.00 99.13 90.00
Fractional positions:
Rb 0.159 0.250 0.160
Rb 0.841 0.750 0.840
In 0.096 0.250 0.618
In 0.904 0.750 0.382
Pb 0.386 0.750 0.865
Pb 0.614 0.250 0.135
S 0.126 0.250 0.841
S 0.163 0.750 0.499
S 0.408 0.750 0.118
S 0.592 0.250 0.882
S 0.837 0.250 0.501
S 0.874 0.750 0.159



An optimized crystal structure of CoRh. Source: Alexandria, functional PBE.

Summary:
As for the uncorrected energy: -14.3 eV/f.u. Its formation energy is 0.0678 eV per atom.

Lattice parameters (Å, degrees): 4.555 4.555 4.555 132.10 132.10 70.07
Fractional positions:
Co 0.375 0.625 0.750
Co 0.625 0.375 0.250
Rh 0.125 0.875 0.250
Rh 0.875 0.125 0.750



An optimized crystal structure of Er3TmRh. Source: Alexandria, functional PBE.

Summary:
As for the uncorrected energy: -26.6 eV/f.u. As for the polymorph energy (0 for the lowest one): 0.192 eV/atom. Its formation energy is -0.2219 eV per atom.

Lattice parameters (Å, degrees): 5.345 5.345 5.345 90.00 90.00 90.00
Fractional positions:
Er 0.000 0.000 0.500
Er 0.000 0.500 0.000
Er 0.500 0.000 0.000
Tm 0.500 0.500 0.500
Rh 0.000 0.000 0.000



An optimized crystal structure of Bi2MoAu. Source: Alexandria, functional PBE.

Summary:
As for the uncorrected energy: -19.4 eV/f.u. Its formation energy is 0.6173 eV per atom.

Lattice parameters (Å, degrees): 5.083 5.083 5.083 60.00 60.00 60.00
Fractional positions:
Bi 0.250 0.250 0.250
Bi 0.750 0.750 0.750
Mo 0.000 0.000 0.000
Au 0.500 0.500 0.500



An optimized crystal structure of NdHo2Co. Source: Alexandria, functional PBE.

Summary:
As for the uncorrected energy: -21.6 eV/f.u. As for the polymorph energy (0 for the lowest one): 0.000 eV/atom. Its formation energy is -0.1378 eV per atom.

Lattice parameters (Å, degrees): 6.962 9.468 6.345 90.00 90.00 90.00
Fractional positions:
Nd 0.044 0.250 0.139
Nd 0.456 0.750 0.639
Nd 0.544 0.250 0.361
Nd 0.956 0.750 0.861
Ho 0.171 0.069 0.676
Ho 0.171 0.431 0.676
Ho 0.329 0.569 0.176
Ho 0.329 0.931 0.176
Ho 0.671 0.069 0.824
Ho 0.671 0.431 0.824
Ho 0.829 0.569 0.324
Ho 0.829 0.931 0.324
Co 0.114 0.750 0.439
Co 0.386 0.250 0.939
Co 0.614 0.750 0.061
Co 0.886 0.250 0.561



An optimized crystal structure of KLiAgSe. Source: Alexandria, functional PBE.

Summary:
For the formation energy without anion corrections, the calculation gives -2.8 eV per formula unit. As for the uncorrected energy: -12.1 eV/f.u.

Lattice parameters (Å, degrees): 4.063 4.063 12.623 90.00 90.00 90.00
Fractional positions:
K 0.250 0.250 0.245
K 0.750 0.750 0.755
Li 0.250 0.750 0.000
Li 0.750 0.250 0.000
Ag 0.250 0.750 0.500
Ag 0.750 0.250 0.500
Se 0.250 0.250 0.877
Se 0.750 0.750 0.123



An optimized crystal structure of LaCu2Ni4. Source: Alexandria, functional PBE.

Summary:
As for the uncorrected energy: -37.1 eV/f.u. As for the polymorph energy (0 for the lowest one): 0.000 eV/atom. Its formation energy is -0.1179 eV per atom.

Lattice parameters (Å, degrees): 5.087 5.087 5.087 122.07 103.65 103.48
Fractional positions:
La 0.000 0.000 0.000
Cu 0.500 0.250 0.750
Cu 0.500 0.750 0.250
Ni 0.000 0.306 0.694
Ni 0.000 0.694 0.306
Ni 0.389 0.694 0.694
Ni 0.611 0.306 0.306



An optimized crystal structure of ZrTiSe3. Source: Alexandria, functional PBE.

Summary:
For the formation energy without anion corrections, the calculation gives -1.9 eV per formula unit. As for the uncorrected energy: -28.8 eV/f.u. As for the polymorph energy (0 for the lowest one): 0.830 eV/atom.

Lattice parameters (Å, degrees): 4.882 4.882 4.882 90.00 90.00 90.00
Fractional positions:
Zr 0.000 0.000 0.000
Ti 0.500 0.500 0.500
Se 0.000 0.500 0.500
Se 0.500 0.000 0.500
Se 0.500 0.500 0.000